Entry from Alexandria via LeMat-Bulk: a relaxed Ce2ScNi crystal (PBE).

abc: 3.1544 3.1544 30.9656
angles: 90.00 90.00 120.00
Fractional coordinates of all 12 atoms:
Ce (0.0000, 0.0000, 0.0971)
Ce (0.0000, 0.0000, 0.9029)
Ce (0.3333, 0.6667, 0.5696)
Ce (0.3333, 0.6667, 0.7638)
Ce (0.6667, 0.3333, 0.2362)
Ce (0.6667, 0.3333, 0.4304)
Sc (0.0000, 0.0000, 0.0000)
Sc (0.3333, 0.6667, 0.6667)
Sc (0.6667, 0.3333, 0.3333)
Ni (0.0000, 0.0000, 0.5000)
Ni (0.3333, 0.6667, 0.1667)
Ni (0.6667, 0.3333, 0.8333)

total energy = -0.2146 Ha/atom
space group = R-3m (166)